<A>
Density functional theory data (GGA-PBE) for a relaxed structure of HfTiTcHg. Values from VASP.

Properties
Spin magnetization ... 0.0 μB/cell
SG ... No. 216

```
&SYSTEM
  ibrav = 0, nat = 4, ntyp = 4
/
ATOMIC_SPECIES
Ti 47.87 Ti.upf
Hf 178.49 Hf.upf
Hg 200.59 Hg.upf
Tc 98.00 Tc.upf
ATOMIC_POSITIONS crystal
Ti 0.750 0.750 0.750
Hf 0.250 0.250 0.250
Hg 0.500 0.500 0.500
Tc 0.000 0.000 0.000
CELL_PARAMETERS angstrom
-3.061 3.147 -1.597
-2.751 -1.049 -3.627
-4.579 -0.655 0.654
```

<B>
Density functional theory data (GGA-PBE) for a relaxed structure of HfTiTcHg. Values from VASP.

Properties
Spin magnetization ... 0.0 μB/cell
SG ... No. 99

```
&SYSTEM
  ibrav = 0, nat = 4, ntyp = 4
/
ATOMIC_SPECIES
Hf 178.49 Hf.upf
Ti 47.87 Ti.upf
Tc 98.00 Tc.upf
Hg 200.59 Hg.upf
ATOMIC_POSITIONS crystal
Hf 0.500 0.500 0.786
Ti 0.500 0.500 0.355
Tc 0.000 0.000 0.555
Hg 0.000 0.000 0.089
CELL_PARAMETERS angstrom
3.230 0.000 0.000
0.000 3.230 0.000
0.000 0.000 7.005
```

Energies, relative to the best one, in kJ/mol of atoms: <A> 19.4; <B> 0.0.

<A>
Density functional theory data (GGA-PBE) for a relaxed structure of HfVTcHg2. Values from VASP.

Properties
Spin magnetization ... 0.6 μB/cell
SG ... No. 123

```
&SYSTEM
  ibrav = 0, nat = 5, ntyp = 4
/
ATOMIC_SPECIES
V 50.94 V.upf
Hf 178.49 Hf.upf
Hg 200.59 Hg.upf
Tc 98.00 Tc.upf
ATOMIC_POSITIONS crystal
V 0.500 0.500 0.500
Hf 0.000 0.000 0.000
Hg 0.000 0.000 0.500
Hg 0.500 0.000 0.000
Tc 0.000 0.500 0.000
CELL_PARAMETERS angstrom
-2.034 -2.571 4.239
3.548 -3.023 -0.131
2.821 3.168 3.275
```

<B>
Density functional theory data (GGA-PBE) for a relaxed structure of HfVTcHg2. Values from VASP.

Properties
Spin magnetization ... 0.1 μB/cell
SG ... No. 123

```
&SYSTEM
  ibrav = 0, nat = 5, ntyp = 4
/
ATOMIC_SPECIES
V 50.94 V.upf
Hf 178.49 Hf.upf
Hg 200.59 Hg.upf
Tc 98.00 Tc.upf
ATOMIC_POSITIONS crystal
V 0.500 0.500 0.500
Hf 0.000 0.500 0.000
Hg 0.000 0.000 0.500
Hg 0.500 0.000 0.000
Tc 0.000 0.000 0.000
CELL_PARAMETERS angstrom
-3.360 -3.194 2.389
0.524 -3.141 -3.462
3.946 -2.207 2.599
```

Energies, relative to the best one, in kJ/mol of atoms: <A> 35.2; <B> 0.0.

<A>
Density functional theory data (GGA-PBE) for a relaxed structure of HfZrTcHg. Values from VASP.

Properties
Spin magnetization ... 0.0 μB/cell
SG ... No. 216

```
&SYSTEM
  ibrav = 0, nat = 4, ntyp = 4
/
ATOMIC_SPECIES
Hf 178.49 Hf.upf
Hg 200.59 Hg.upf
Zr 91.22 Zr.upf
Tc 98.00 Tc.upf
ATOMIC_POSITIONS crystal
Hf 0.500 0.500 0.500
Hg 0.750 0.750 0.750
Zr 0.000 0.000 0.000
Tc 0.250 0.250 0.250
CELL_PARAMETERS angstrom
-3.212 0.161 3.559
-4.685 -0.297 -0.983
-2.455 -3.943 1.195
```

<B>
Density functional theory data (GGA-PBE) for a relaxed structure of HfZrTcHg. Values from VASP.

Properties
Spin magnetization ... 0.0 μB/cell
SG ... No. 99

```
&SYSTEM
  ibrav = 0, nat = 4, ntyp = 4
/
ATOMIC_SPECIES
Hf 178.49 Hf.upf
Zr 91.22 Zr.upf
Tc 98.00 Tc.upf
Hg 200.59 Hg.upf
ATOMIC_POSITIONS crystal
Hf 0.500 0.500 0.355
Zr 0.500 0.500 0.789
Tc 0.000 0.000 0.565
Hg 0.000 0.000 0.076
CELL_PARAMETERS angstrom
3.312 0.000 0.000
0.000 3.312 0.000
0.000 0.000 7.227
```

Energies, relative to the best one, in kJ/mol of atoms: <A> 16.9; <B> 0.0.

<A>
Density functional theory data (GGA-PBE) for a relaxed structure of HfHgTe3. Values from VASP.

Properties
Spin magnetization ... 0.0 μB/cell
SG ... No. 221

```
&SYSTEM
  ibrav = 0, nat = 5, ntyp = 3
/
ATOMIC_SPECIES
Te 127.60 Te.upf
Hf 178.49 Hf.upf
Hg 200.59 Hg.upf
ATOMIC_POSITIONS crystal
Te 0.000 0.500 0.000
Te 0.000 0.000 0.500
Te 0.500 0.000 0.000
Hf 0.000 0.000 0.000
Hg 0.500 0.500 0.500
CELL_PARAMETERS angstrom
5.585 0.000 0.000
0.000 5.585 0.000
0.000 0.000 5.585
```

<B>
Density functional theory data (GGA-PBE) for a relaxed structure of HfHgTe3. Values from VASP.

Properties
Spin magnetization ... 0.0 μB/cell
SG ... No. 221

```
&SYSTEM
  ibrav = 0, nat = 5, ntyp = 3
/
ATOMIC_SPECIES
Te 127.60 Te.upf
Hf 178.49 Hf.upf
Hg 200.59 Hg.upf
ATOMIC_POSITIONS crystal
Te 0.000 0.500 0.000
Te 0.000 0.000 0.500
Te 0.500 0.000 0.000
Hf 0.500 0.500 0.500
Hg 0.000 0.000 0.000
CELL_PARAMETERS angstrom
5.461 0.000 0.000
0.000 5.461 0.000
0.000 0.000 5.461
```

Energies, relative to the best one, in kJ/mol of atoms: <A> 0.0; <B> 97.3.

<A>
Density functional theory data (GGA-PBE) for a relaxed structure of HfHg2Te2. Values from VASP.

Properties
Spin magnetization ... 0.0 μB/cell
SG ... No. 139

```
&SYSTEM
  ibrav = 0, nat = 5, ntyp = 3
/
ATOMIC_SPECIES
Te 127.60 Te.upf
Hf 178.49 Hf.upf
Hg 200.59 Hg.upf
ATOMIC_POSITIONS crystal
Te 0.417 0.417 0.166
Te 0.583 0.583 0.834
Hf 0.000 0.000 0.000
Hg 0.750 0.250 0.500
Hg 0.250 0.750 0.500
CELL_PARAMETERS angstrom
3.824 0.000 0.000
0.000 3.824 0.000
1.912 1.912 9.989
```

<B>
Density functional theory data (GGA-PBE) for a relaxed structure of HfHg2Te2. Values from VASP.

Properties
Spin magnetization ... 0.0 μB/cell
SG ... No. 127

```
&SYSTEM
  ibrav = 0, nat = 10, ntyp = 3
/
ATOMIC_SPECIES
Te 127.60 Te.upf
Hf 178.49 Hf.upf
Hg 200.59 Hg.upf
ATOMIC_POSITIONS crystal
Te 0.342 0.842 0.000
Te 0.842 0.658 0.000
Te 0.658 0.158 0.000
Te 0.158 0.342 0.000
Hf 0.000 0.000 0.000
Hf 0.500 0.500 0.000
Hg 0.164 0.664 0.500
Hg 0.664 0.836 0.500
Hg 0.836 0.336 0.500
Hg 0.336 0.164 0.500
CELL_PARAMETERS angstrom
7.427 0.000 0.000
0.000 7.427 0.000
0.000 0.000 5.341
```

Energies, relative to the best one, in kJ/mol of atoms: <A> 0.0; <B> 13.7.

<A>
Density functional theory data (GGA-PBE) for a relaxed structure of Hf2Hg2Te. Values from VASP.

Properties
Spin magnetization ... 0.0 μB/cell
SG ... No. 127

```
&SYSTEM
  ibrav = 0, nat = 10, ntyp = 3
/
ATOMIC_SPECIES
Te 127.60 Te.upf
Hf 178.49 Hf.upf
Hg 200.59 Hg.upf
ATOMIC_POSITIONS crystal
Te 0.000 0.000 0.000
Te 0.500 0.500 0.000
Hf 0.350 0.850 0.000
Hf 0.850 0.650 0.000
Hf 0.650 0.150 0.000
Hf 0.150 0.350 0.000
Hg 0.150 0.650 0.500
Hg 0.650 0.850 0.500
Hg 0.850 0.350 0.500
Hg 0.350 0.150 0.500
CELL_PARAMETERS angstrom
7.348 0.000 0.000
0.000 7.348 0.000
0.000 0.000 4.414
```

<B>
Density functional theory data (GGA-PBE) for a relaxed structure of Hf2Hg2Te. Values from VASP.

Properties
Spin magnetization ... 0.0 μB/cell
SG ... No. 139

```
&SYSTEM
  ibrav = 0, nat = 5, ntyp = 3
/
ATOMIC_SPECIES
Te 127.60 Te.upf
Hf 178.49 Hf.upf
Hg 200.59 Hg.upf
ATOMIC_POSITIONS crystal
Te 0.000 0.000 0.000
Hf 0.403 0.403 0.194
Hf 0.597 0.597 0.806
Hg 0.750 0.250 0.500
Hg 0.250 0.750 0.500
CELL_PARAMETERS angstrom
-0.328 -3.915 0.247
3.723 -0.389 -1.219
4.114 -1.893 6.814
```

Energies, relative to the best one, in kJ/mol of atoms: <A> 0.0; <B> 21.0.

<A>
Density functional theory data (GGA-PBE) for a relaxed structure of Hf2HgTe. Values from VASP.

Properties
Spin magnetization ... 0.0 μB/cell
SG ... No. 225

```
&SYSTEM
  ibrav = 0, nat = 4, ntyp = 3
/
ATOMIC_SPECIES
Te 127.60 Te.upf
Hf 178.49 Hf.upf
Hg 200.59 Hg.upf
ATOMIC_POSITIONS crystal
Te 0.000 0.000 0.000
Hf 0.250 0.250 0.250
Hf 0.750 0.750 0.750
Hg 0.500 0.500 0.500
CELL_PARAMETERS angstrom
0.000 3.521 3.521
3.521 0.000 3.521
3.521 3.521 0.000
```

<B>
Density functional theory data (GGA-PBE) for a relaxed structure of Hf2HgTe. Values from VASP.

Properties
Spin magnetization ... 0.0 μB/cell
SG ... No. 122

```
&SYSTEM
  ibrav = 0, nat = 8, ntyp = 3
/
ATOMIC_SPECIES
Te 127.60 Te.upf
Hf 178.49 Hf.upf
Hg 200.59 Hg.upf
ATOMIC_POSITIONS crystal
Te 0.500 0.500 0.000
Te 0.250 0.750 0.500
Hf 0.654 0.125 0.250
Hf 0.096 0.625 0.250
Hf 0.375 0.346 0.750
Hf 0.875 0.904 0.750
Hg 0.000 0.000 0.000
Hg 0.750 0.250 0.500
CELL_PARAMETERS angstrom
6.056 0.000 0.000
0.000 6.056 0.000
3.028 3.028 7.001
```

Energies, relative to the best one, in kJ/mol of atoms: <A> 0.0; <B> 61.0.

<A>
Density functional theory data (GGA-PBE) for a relaxed structure of HfThHg2. Values from VASP.

Properties
Spin magnetization ... 0.0 μB/cell
SG ... No. 123

```
&SYSTEM
  ibrav = 0, nat = 4, ntyp = 3
/
ATOMIC_SPECIES
Hf 178.49 Hf.upf
Hg 200.59 Hg.upf
Th 232.04 Th.upf
ATOMIC_POSITIONS crystal
Hf 0.500 0.500 0.500
Hg 0.000 0.000 0.500
Hg 0.000 0.500 0.000
Th 0.500 0.000 0.000
CELL_PARAMETERS angstrom
-3.657 -1.920 -1.990
0.001 -3.325 3.207
-2.786 2.558 2.653
```

<B>
Density functional theory data (GGA-PBE) for a relaxed structure of HfThHg2. Values from VASP.

Properties
Spin magnetization ... 0.0 μB/cell
SG ... No. 225

```
&SYSTEM
  ibrav = 0, nat = 4, ntyp = 3
/
ATOMIC_SPECIES
Hf 178.49 Hf.upf
Hg 200.59 Hg.upf
Th 232.04 Th.upf
ATOMIC_POSITIONS crystal
Hf 0.000 0.000 0.000
Hg 0.250 0.250 0.250
Hg 0.750 0.750 0.750
Th 0.500 0.500 0.500
CELL_PARAMETERS angstrom
5.210 0.000 0.000
2.605 4.512 0.000
2.605 1.504 4.254
```

Energies, relative to the best one, in kJ/mol of atoms: <A> 0.0; <B> 0.6.

<A>
Density functional theory data (GGA-PBE) for a relaxed structure of Hf3TiHg. Values from VASP.

Properties
Spin magnetization ... 3.5 μB/cell
SG ... No. 221

```
&SYSTEM
  ibrav = 0, nat = 5, ntyp = 3
/
ATOMIC_SPECIES
Hf 178.49 Hf.upf
Hg 200.59 Hg.upf
Ti 47.87 Ti.upf
ATOMIC_POSITIONS crystal
Hf 0.000 0.500 0.000
Hf 0.000 0.000 0.500
Hf 0.500 0.000 0.000
Hg 0.000 0.000 0.000
Ti 0.500 0.500 0.500
CELL_PARAMETERS angstrom
5.185 0.000 0.000
0.000 5.185 0.000
0.000 0.000 5.185
```

<B>
Density functional theory data (GGA-PBE) for a relaxed structure of Hf3TiHg. Values from VASP.

Properties
Spin magnetization ... 0.0 μB/cell
SG ... No. 221

```
&SYSTEM
  ibrav = 0, nat = 5, ntyp = 3
/
ATOMIC_SPECIES
Hf 178.49 Hf.upf
Hg 200.59 Hg.upf
Ti 47.87 Ti.upf
ATOMIC_POSITIONS crystal
Hf 0.000 0.500 0.000
Hf 0.000 0.000 0.500
Hf 0.500 0.000 0.000
Hg 0.500 0.500 0.500
Ti 0.000 0.000 0.000
CELL_PARAMETERS angstrom
-4.385 2.233 0.187
-1.066 -2.440 4.143
1.971 3.648 2.656
```

Energies, relative to the best one, in kJ/mol of atoms: <A> 37.7; <B> 0.0.

<A>
Density functional theory data (GGA-PBE) for a relaxed structure of Hf2TiHg2. Values from VASP.

Properties
Spin magnetization ... 0.9 μB/cell
SG ... No. 139

```
&SYSTEM
  ibrav = 0, nat = 5, ntyp = 3
/
ATOMIC_SPECIES
Hf 178.49 Hf.upf
Hg 200.59 Hg.upf
Ti 47.87 Ti.upf
ATOMIC_POSITIONS crystal
Hf 0.404 0.404 0.193
Hf 0.596 0.596 0.807
Hg 0.750 0.250 0.500
Hg 0.250 0.750 0.500
Ti 0.000 0.000 0.000
CELL_PARAMETERS angstrom
4.030 0.000 0.000
0.000 4.030 0.000
2.015 2.015 7.227
```

<B>
Density functional theory data (GGA-PBE) for a relaxed structure of Hf2TiHg2. Values from VASP.

Properties
Spin magnetization ... 0.6 μB/cell
SG ... No. 127

```
&SYSTEM
  ibrav = 0, nat = 10, ntyp = 3
/
ATOMIC_SPECIES
Hf 178.49 Hf.upf
Hg 200.59 Hg.upf
Ti 47.87 Ti.upf
ATOMIC_POSITIONS crystal
Hf 0.173 0.673 0.500
Hf 0.673 0.827 0.500
Hf 0.827 0.327 0.500
Hf 0.327 0.173 0.500
Hg 0.365 0.865 0.000
Hg 0.865 0.635 0.000
Hg 0.635 0.135 0.000
Hg 0.135 0.365 0.000
Ti 0.000 0.000 0.000
Ti 0.500 0.500 0.000
CELL_PARAMETERS angstrom
-1.561 6.692 -2.431
-6.813 -2.126 -1.478
-1.136 1.075 3.690
```

Energies, relative to the best one, in kJ/mol of atoms: <A> 37.0; <B> 0.0.

<A>
Density functional theory data (GGA-PBE) for a relaxed structure of Hf2TiHg2. Values from VASP.

Properties
Spin magnetization ... 5.1 μB/cell
SG ... No. 127

```
&SYSTEM
  ibrav = 0, nat = 10, ntyp = 3
/
ATOMIC_SPECIES
Hf 178.49 Hf.upf
Hg 200.59 Hg.upf
Ti 47.87 Ti.upf
ATOMIC_POSITIONS crystal
Hf 0.376 0.876 0.000
Hf 0.876 0.624 0.000
Hf 0.624 0.124 0.000
Hf 0.124 0.376 0.000
Hg 0.173 0.673 0.500
Hg 0.673 0.827 0.500
Hg 0.827 0.327 0.500
Hg 0.327 0.173 0.500
Ti 0.000 0.000 0.000
Ti 0.500 0.500 0.000
CELL_PARAMETERS angstrom
-8.239 1.540 -0.619
-1.562 -6.133 5.530
0.208 2.052 2.335
```

<B>
Density functional theory data (GGA-PBE) for a relaxed structure of Hf2TiHg2. Values from VASP.

Properties
Spin magnetization ... 0.0 μB/cell
SG ... No. 65

```
&SYSTEM
  ibrav = 0, nat = 5, ntyp = 3
/
ATOMIC_SPECIES
Hf 178.49 Hf.upf
Ti 47.87 Ti.upf
Hg 200.59 Hg.upf
ATOMIC_POSITIONS crystal
Hf 0.500 0.410 0.181
Hf 0.500 0.590 0.819
Ti 0.000 0.000 0.000
Hg 0.000 0.192 0.616
Hg 0.000 0.808 0.384
CELL_PARAMETERS angstrom
-0.066 3.075 -0.342
-2.653 0.121 1.604
4.436 1.235 10.240
```

Energies, relative to the best one, in kJ/mol of atoms: <A> 30.5; <B> 0.0.

<A>
Density functional theory data (GGA-PBE) for a relaxed structure of HfTl2Hg. Values from VASP.

Properties
Spin magnetization ... 0.0 μB/cell
SG ... No. 166

```
&SYSTEM
  ibrav = 0, nat = 4, ntyp = 3
/
ATOMIC_SPECIES
Tl 204.38 Tl.upf
Hf 178.49 Hf.upf
Hg 200.59 Hg.upf
ATOMIC_POSITIONS crystal
Tl 0.087 0.087 0.738
Tl 0.913 0.913 0.262
Hf 0.000 0.000 0.000
Hg 0.500 0.500 0.500
CELL_PARAMETERS angstrom
-2.095 -0.262 -2.579
-1.012 -3.005 -1.026
-9.745 -0.552 5.816
```

<B>
Density functional theory data (GGA-PBE) for a relaxed structure of HfTl2Hg. Values from VASP.

Properties
Spin magnetization ... 0.0 μB/cell
SG ... No. 225

```
&SYSTEM
  ibrav = 0, nat = 4, ntyp = 3
/
ATOMIC_SPECIES
Tl 204.38 Tl.upf
Hf 178.49 Hf.upf
Hg 200.59 Hg.upf
ATOMIC_POSITIONS crystal
Tl 0.250 0.250 0.250
Tl 0.750 0.750 0.750
Hf 0.000 0.000 0.000
Hg 0.500 0.500 0.500
CELL_PARAMETERS angstrom
-2.479 2.345 3.938
-3.114 4.071 -0.937
-5.163 -0.501 0.496
```

<C>
Density functional theory data (GGA-PBE) for a relaxed structure of HfTl2Hg. Values from VASP.

Properties
Spin magnetization ... 0.0 μB/cell
SG ... No. 122

```
&SYSTEM
  ibrav = 0, nat = 8, ntyp = 3
/
ATOMIC_SPECIES
Tl 204.38 Tl.upf
Hf 178.49 Hf.upf
Hg 200.59 Hg.upf
ATOMIC_POSITIONS crystal
Tl 0.630 0.125 0.250
Tl 0.120 0.625 0.250
Tl 0.375 0.370 0.750
Tl 0.875 0.880 0.750
Hf 0.500 0.500 0.000
Hf 0.250 0.750 0.500
Hg 0.000 0.000 0.000
Hg 0.750 0.250 0.500
CELL_PARAMETERS angstrom
-1.483 1.660 7.788
-6.808 -4.373 -0.364
-2.553 -3.906 4.559
```

Energies, relative to the best one, in kJ/mol of atoms: <A> 0.0; <B> 8.5; <C> 5.1.